(1)
Compound: LiTh3Al8
Source: the Alexandria database
Functional: PBE
Structure: optimized geometry

Lattice parameters (Å, degrees): 5.6492 5.6492 27.3900 90.00 90.00 120.00
Space group R3m (No. 160, hexagonal axes)
Unique sites:
Li: 0.0000 0.0000 0.0000 x3
Th: 0.0000 0.0000 0.3688 x3
Th: 0.0000 0.0000 0.4987 x3
Th: 0.0000 0.0000 0.8769 x3
Al: 0.0000 0.0000 0.1849 x3
Al: 0.0000 0.0000 0.6842 x3
Al: 0.1672 0.3343 0.7676 x9
Al: 0.1673 0.3346 0.2678 x9

Calculated values
As for the total energy: -4.839 eV per atom. The value obtained for the formation enthalpy at 0 K is -0.3296 eV per atom. For the density of states at the Fermi level, the calculation gives 0.664 states/eV per atom.

(2)
Compound: HgSbPt2
Source: the Alexandria database
Functional: PBE
Structure: optimized geometry

Lattice parameters (Å, degrees): 7.5401 7.5401 5.7643 90.00 90.00 90.00
Space group I-42d (No. 122)
Unique sites:
Hg: 0.0000 0.0000 0.0000 x4
Sb: 0.0000 0.0000 0.5000 x4
Pt: 0.2315 0.7500 0.6250 x8

Calculated values
As for the total energy: -4.092 eV per atom. Its formation energy without anion corrections is 0.034 eV/atom. For the density of states at the Fermi level, the calculation gives 0.572 states/eV per atom.